Record 1
VASP calculation (PBE) on Pu2NbPd6 after structural relaxation.

Computed properties:
The space-group type is No. 12. The value obtained for the energy of formation from the pure elements is -370 meV/atom.

The structure in CIF format:
```
data_Pu2NbPd6
_chemical_formula_sum 'Pu2 Nb1 Pd6'
_space_group_name_H-M_alt 'P 1'
_space_group_IT_number 1
_space_group_name_Hall 'P 1'
_cell_length_a 5.753
_cell_length_b 5.753
_cell_length_c 6.021
_cell_angle_alpha 90.08
_cell_angle_beta 90.08
_cell_angle_gamma 59.97
loop_
_atom_site_label
_atom_site_fract_x
_atom_site_fract_y
_atom_site_fract_z
Pu1 0.166 0.166 0.162
Pu2 0.834 0.834 0.838
Nb1 0.500 0.500 0.000
Pd1 0.153 0.674 0.317
Pd2 0.326 0.326 0.683
Pd3 0.326 0.847 0.683
Pd4 0.674 0.153 0.317
Pd5 0.674 0.674 0.317
Pd6 0.847 0.326 0.683
```

***

Record 2
VASP calculation (PBE) on NpTi2Ag2S6 after structural relaxation.

Computed properties:
The space-group type is No. 12. As for the uncorrected formation energy: -0.9690 eV/atom.

The structure in CIF format:
```
data_NpTi2Ag2S6
_chemical_formula_sum 'Np1 Ti2 Ag2 S6'
_space_group_name_H-M_alt 'P 1'
_space_group_IT_number 1
_space_group_name_Hall 'P 1'
_cell_length_a 6.346
_cell_length_b 6.346
_cell_length_c 6.702
_cell_angle_alpha 91.17
_cell_angle_beta 91.17
_cell_angle_gamma 118.89
loop_
_atom_site_label
_atom_site_fract_x
_atom_site_fract_y
_atom_site_fract_z
Np1 0.000 0.000 0.000
Ti1 0.347 0.653 0.000
Ti2 0.653 0.347 0.000
Ag1 0.133 0.867 0.500
Ag2 0.867 0.133 0.500
S1 0.010 0.375 0.204
S2 0.342 0.342 0.781
S3 0.375 0.010 0.204
S4 0.625 0.990 0.796
S5 0.658 0.658 0.219
S6 0.990 0.625 0.796
```

***

Record 3
VASP calculation (PBE) on Tl2CrW after structural relaxation.

Computed properties:
The space-group type is No. 216. The value obtained for the offset from the most stable computed form is 580 meV per atom. The value obtained for the energy of formation from the pure elements is 1180 meV/atom.

The structure in CIF format:
```
data_Tl2CrW
_chemical_formula_sum 'Tl2 Cr1 W1'
_space_group_name_H-M_alt 'P 1'
_space_group_IT_number 1
_space_group_name_Hall 'P 1'
_cell_length_a 4.859
_cell_length_b 4.859
_cell_length_c 4.859
_cell_angle_alpha 60.00
_cell_angle_beta 60.00
_cell_angle_gamma 60.00
loop_
_atom_site_label
_atom_site_fract_x
_atom_site_fract_y
_atom_site_fract_z
Tl1 0.000 0.000 0.000
Tl2 0.250 0.250 0.250
Cr1 0.500 0.500 0.500
W1 0.750 0.750 0.750
```

***

no.,volume (A^3/atom),final energy (eV/atom)
1,19.165,-8.14
2,21.469,-6.35
3,20.281,-5.65